Record 1
Below is crystalline Tb3Dy4Sn4 at its relaxed geometry, with properties calculated at the PBE-GGA level.

The space group is Immm (No. 71) and the conventional cell measures 3.998, 9.262 and 17.600 Å, with angles of 90.00, 90.00 and 90.00 degrees. The inequivalent atoms are Tb at (0.000, 0.000, 0.000), Tb at (0.000, 0.500, 0.099), Dy at (0.000, 0.313, 0.331), Sn at (0.000, 0.000, 0.264) and Sn at (0.000, 0.217, 0.500).

The total DFT energy (no corrections) comes out at -53.940 eV/f.u. The calculation puts the formation energy at -49.38 kJ per mole of atoms.

Record 2
Below is crystalline LaScCo at its relaxed geometry, with properties calculated at the PBE-GGA level.

The space group is F-43m (No. 216) and the conventional cell measures 6.415, 6.415 and 6.415 Å, with angles of 90.00, 90.00 and 90.00 degrees. The inequivalent atoms are La at (0.000, 0.000, 0.000), Sc at (0.250, 0.250, 0.250) and Co at (0.250, 0.250, 0.750).

As for the offset from the most stable computed form: 872 meV/atom. The total DFT energy (no corrections) comes out at -16.103 eV/f.u. The calculation puts the formation energy at 72.74 kJ per mole of atoms.